Record 1
## Ba2TbBiO6 (PBE-GGA)

Data for a geometry-optimized Ba2TbBiO6 structure.

Unit cell a=6.106 b=6.106 c=6.106 alpha=60.00 beta=60.00 gamma=60.00
Sites, in units of the cell vectors:
Ba 0.250 0.250 0.250
Ba 0.750 0.750 0.750
Tb 0.000 0.000 0.000
Bi 0.500 0.500 0.500
O 0.257 0.257 0.743
O 0.257 0.743 0.257
O 0.257 0.743 0.743
O 0.743 0.257 0.257
O 0.743 0.257 0.743
O 0.743 0.743 0.257

VASP energy (eV per atom): -6.6275

Record 2
## Ba2Mg2Cd15 (PBE-GGA)

Data for a geometry-optimized Ba2Mg2Cd15 structure.

Unit cell a=7.832 b=7.832 c=7.832 alpha=82.26 beta=82.26 gamma=82.26
Sites, in units of the cell vectors:
Ba 0.161 0.161 0.161
Ba 0.839 0.839 0.839
Mg 0.400 0.400 0.400
Mg 0.600 0.600 0.600
Cd 0.000 0.500 0.500
Cd 0.146 0.146 0.655
Cd 0.146 0.655 0.146
Cd 0.209 0.500 0.791
Cd 0.209 0.791 0.500
Cd 0.345 0.854 0.854
Cd 0.500 0.000 0.500
Cd 0.500 0.209 0.791
Cd 0.500 0.500 0.000
Cd 0.500 0.791 0.209
Cd 0.655 0.146 0.146
Cd 0.791 0.209 0.500
Cd 0.791 0.500 0.209
Cd 0.854 0.345 0.854
Cd 0.854 0.854 0.345

VASP energy (eV per atom): -1.2792

Record 3
## SrCoBi (PBE-GGA)

Data for a geometry-optimized SrCoBi structure.

Unit cell a=7.535 b=7.535 c=4.388 alpha=90.00 beta=90.00 gamma=120.00
Sites, in units of the cell vectors:
Sr 0.000 0.600 0.000
Sr 0.400 0.400 0.000
Sr 0.600 0.000 0.000
Co 0.000 0.000 0.000
Co 0.333 0.667 0.500
Co 0.667 0.333 0.500
Bi 0.000 0.268 0.500
Bi 0.268 0.000 0.500
Bi 0.732 0.732 0.500

VASP energy (eV per atom): -4.3175